No. 1
VASP calculation (PBE) on crystalline BeBiS3 at its relaxed geometry.

Cell: 4.4483 4.4483 4.4483 Å, 90.00 90.00 90.00°
Closest atoms and distances in Å follow each position.
Fractional positions:
1 Be 0.0000 0.0000 0.0000  6 S 2.22
2 S 0.0000 0.5000 0.0000  2 Be 2.22
3 S 0.0000 0.0000 0.5000  2 Be 2.22
4 S 0.5000 0.0000 0.0000  2 Be 2.22
5 Bi 0.5000 0.5000 0.5000  12 S 3.15

Properties
M_tot ... 0.00 μB per cell
Energy relative to the lowest polymorph listed for this composition ... 0 meV/atom
Symmetry ... Pm-3m, No. 221
Crystal system ... cubic
E_form (uncorrected) ... -0.01 eV per atom


No. 2
VASP calculation (PBE) on crystalline BeBiS2 at its relaxed geometry.

Cell: 6.0696 6.0696 6.2976 Å, 61.19 61.19 90.00°
Closest atoms and distances in Å follow each position.
Fractional positions:
1 Be 0.5000 0.5000 0.0000  4 S 2.10
2 Be 0.2500 0.7500 0.5000  4 S 2.10
3 S 0.5218 0.1250 0.2500  2 Be 2.10
4 S 0.2282 0.6250 0.2500  2 Be 2.10
5 S 0.3750 0.4782 0.7500  2 Be 2.10
6 S 0.8750 0.7718 0.7500  2 Be 2.10
7 Bi 0.0000 0.0000 0.0000  4 S 2.87
8 Bi 0.7500 0.2500 0.5000  4 S 2.87

Properties
M_tot ... 0.00 μB per cell
Energy relative to the lowest polymorph listed for this composition ... 0 meV/atom
Symmetry ... I-42d, No. 122
Crystal system ... tetragonal
E_form (uncorrected) ... -0.40 eV per atom


No. 3
VASP calculation (PBE) on crystalline ScBe2BiS at its relaxed geometry.

Cell: 4.8762 5.7018 4.8762 Å, 90.00 90.00 90.00°
Closest atoms and distances in Å follow each position.
Fractional positions:
1 Sc 0.0000 0.0000 0.0000  4 Be 2.44
2 Be 0.0000 0.0000 0.5000  2 Sc 2.44
3 Be 0.5000 0.0000 0.0000  2 Sc 2.44
4 S 0.5000 0.5000 0.5000  4 Bi 3.45, 8 Be 3.75
5 Bi 0.0000 0.5000 0.0000  2 Sc 2.85

Properties
M_tot ... 0.00 μB per cell
Symmetry ... P4/mmm, No. 123
Crystal system ... tetragonal
E_form (uncorrected) ... 1.38 eV per atom


No. 4
VASP calculation (PBE) on crystalline TaBeBiS2 at its relaxed geometry.

Cell: 5.2022 5.5668 5.2022 Å, 90.00 90.00 90.00°
Closest atoms and distances in Å follow each position.
Fractional positions:
1 Be 0.5000 0.5000 0.5000  4 Ta 3.68, 8 S 3.81
2 S 0.0000 0.0000 0.5000  2 Bi 2.60
3 S 0.5000 0.0000 0.0000  2 Bi 2.60
4 Bi 0.0000 0.0000 0.0000  4 S 2.60, 2 Ta 2.78
5 Ta 0.0000 0.5000 0.0000  2 Bi 2.78

Properties
M_tot ... 2.15 μB per cell
Symmetry ... P4/mmm, No. 123
Crystal system ... tetragonal
E_form (uncorrected) ... 1.85 eV per atom


No. 5
VASP calculation (PBE) on crystalline BeV2BiS at its relaxed geometry.

Cell: 4.5752 3.9800 4.5752 Å, 90.00 90.00 90.00°
Closest atoms and distances in Å follow each position.
Fractional positions:
1 Be 0.0000 0.5000 0.0000  2 S 1.99
2 S 0.0000 0.0000 0.0000  2 Be 1.99
3 Bi 0.5000 0.5000 0.5000  8 V 3.03, 4 Be 3.24
4 V 0.0000 0.0000 0.5000  2 S 2.29
5 V 0.5000 0.0000 0.0000  2 S 2.29

Properties
M_tot ... 3.35 μB per cell
Symmetry ... P4/mmm, No. 123
Crystal system ... tetragonal
E_form (uncorrected) ... 0.27 eV per atom


No. 6
VASP calculation (PBE) on crystalline BeBiWS2 at its relaxed geometry.

Cell: 4.3468 4.9812 4.3468 Å, 90.00 90.00 90.00°
Closest atoms and distances in Å follow each position.
Fractional positions:
1 Be 0.0000 0.0000 0.0000  4 S 2.17
2 S 0.0000 0.0000 0.5000  2 Be 2.17
3 S 0.5000 0.0000 0.0000  2 Be 2.17
4 Bi 0.0000 0.5000 0.0000  2 Be 2.49
5 W 0.5000 0.5000 0.5000  4 Bi 3.07, 8 S 3.31

Properties
M_tot ... 2.30 μB per cell
Symmetry ... P4/mmm, No. 123
Crystal system ... tetragonal
E_form (uncorrected) ... 1.09 eV per atom


No. 7
VASP calculation (PBE) on crystalline Be2BiSb2 at its relaxed geometry.

Cell: 3.8298 3.8298 7.9467 Å, 76.06 76.06 90.00°
Closest atoms and distances in Å follow each position.
Fractional positions:
1 Sb 0.3606 0.3606 0.2788  4 Be 2.53
2 Sb 0.6394 0.6394 0.7212  4 Be 2.53
3 Bi 0.0000 0.0000 0.0000  8 Sb 3.42
4 Be 0.7500 0.2500 0.5000  4 Sb 2.53, 4 Be 2.71
5 Be 0.2500 0.7500 0.5000  4 Sb 2.53, 4 Be 2.71

Properties
M_tot ... 0.00 μB per cell
Symmetry ... I4/mmm, No. 139
Crystal system ... tetragonal
E_form (uncorrected) ... 0.32 eV per atom


No. 8
VASP calculation (PBE) on crystalline BeBi3Sb at its relaxed geometry.

Cell: 5.1658 5.1658 5.1658 Å, 90.00 90.00 90.00°
Closest atoms and distances in Å follow each position.
Fractional positions:
1 Sb 0.5000 0.5000 0.5000  12 Bi 3.65
2 Bi 0.0000 0.5000 0.0000  2 Be 2.58
3 Bi 0.0000 0.0000 0.5000  2 Be 2.58
4 Bi 0.5000 0.0000 0.0000  2 Be 2.58
5 Be 0.0000 0.0000 0.0000  6 Bi 2.58

Properties
M_tot ... 0.00 μB per cell
Energy relative to the lowest polymorph listed for this composition ... 0 meV/atom
Symmetry ... Pm-3m, No. 221
Crystal system ... cubic
E_form (uncorrected) ... 0.45 eV per atom


| no. | ρ (Mg/m³) |
| --- | --- |
| 1 | 5.9 |
| 2 | 5.5 |
| 3 | 3.7 |
| 4 | 5.1 |
| 5 | 7.0 |
| 6 | 8.2 |
| 7 | 7.1 |
| 8 | 9.1 |